{"formula": "Nd2DyPa2Rh5", "functional": "GGA-PBE", "state": "optimized geometry", "dos_at_fermi_per_ev_cell": 19.59, "spacegroup": "P4/mbm", "ef_ev_per_atom": -0.65, "cell": [[-0.1930, 3.5492, 0.6488], [-2.1902, 1.8209, -10.6129], [-10.7520, -0.9601, 2.0542]], "species": ["Rh", "Rh", "Rh", "Rh", "Rh", "Rh", "Rh", "Rh", "Rh", "Rh", "Nd", "Nd", "Nd", "Nd", "Pa", "Pa", "Pa", "Pa", "Dy", "Dy"], "fractional_positions": [[0.5000, 0.2032, 0.0531], [0.5000, 0.7968, 0.9469], [0.5000, 0.7032, 0.4469], [0.5000, 0.5000, 0.0000], [0.5000, 0.0531, 0.7968], [0.5000, 0.9469, 0.2032], [0.5000, 0.2968, 0.5531], [0.5000, 0.0000, 0.5000], [0.5000, 0.4469, 0.2968], [0.5000, 0.5531, 0.7032], [0.0000, 0.8281, 0.6719], [0.0000, 0.1719, 0.3281], [0.0000, 0.3281, 0.8281], [0.0000, 0.6719, 0.1719], [0.0000, 0.1364, 0.6364], [0.0000, 0.8636, 0.3636], [0.0000, 0.6364, 0.8636], [0.0000, 0.3636, 0.1364], [0.0000, 0.5000, 0.5000], [0.0000, 0.0000, 0.0000]]}